The following is a meta-GGA SCAN calculation of Ag2RuW at its PBEsol-relaxed geometry, from the Alexandria database.

Output
magnetic moment	0.01	μB/f.u.
formation enthalpy at 0 K	0.562	eV/atom
theoretical density	13.5	Mg/m³
V	15.4	Å³/atom

a = 4.719 Å, b = 4.719 Å, c = 5.078 Å
α = 96.92°, β = 96.92°, γ = 33.34°
Atoms (fractional coordinates):
1 Ag 0.000 0.000 0.000
2 Ag 0.250 0.250 0.781
3 Ru 0.504 0.504 0.484
4 W 0.751 0.751 0.294

=====

The following is a meta-GGA SCAN calculation of AgRuW2 at its PBEsol-relaxed geometry, from the Alexandria database.

Output
magnetic moment	0.00	μB/f.u.
formation enthalpy at 0 K	0.458	eV/atom
theoretical density	15.6	Mg/m³
V	15.3	Å³/atom

a = 2.807 Å, b = 3.851 Å, c = 5.674 Å
α = 90.00°, β = 90.00°, γ = 90.00°
Atoms (fractional coordinates):
1 Ag 0.000 0.000 0.000
2 Ru 0.500 0.500 0.272
3 W 0.000 0.000 0.481
4 W 0.500 0.500 0.736

=====

The following is a meta-GGA SCAN calculation of Ag2RuW at its PBEsol-relaxed geometry, from the Alexandria database.

Output
magnetic moment	0.00	μB/f.u.
formation enthalpy at 0 K	0.591	eV/atom
theoretical density	13.5	Mg/m³
V	15.4	Å³/atom

a = 4.846 Å, b = 4.846 Å, c = 4.846 Å
α = 135.48°, β = 127.81°, γ = 70.97°
Atoms (fractional coordinates):
1 Ag 0.000 0.000 0.000
2 Ag 0.744 0.244 0.500
3 Ru 0.262 0.762 0.500
4 W 0.478 0.478 0.000

=====

The following is a meta-GGA SCAN calculation of AgRu2W at its PBEsol-relaxed geometry, from the Alexandria database.

Output
magnetic moment	0.00	μB/f.u.
formation enthalpy at 0 K	0.485	eV/atom
theoretical density	14.2	Mg/m³
V	14.5	Å³/atom

a = 4.840 Å, b = 4.840 Å, c = 4.840 Å
α = 133.88°, β = 133.88°, γ = 67.27°
Atoms (fractional coordinates):
1 Ag 0.000 0.000 0.000
2 Ru 0.500 0.500 0.000
3 Ru 0.750 0.250 0.500
4 W 0.250 0.750 0.500

=====

The following is a meta-GGA SCAN calculation of AgRu2W at its PBEsol-relaxed geometry, from the Alexandria database.

Output
magnetic moment	0.00	μB/f.u.
formation enthalpy at 0 K	0.430	eV/atom
theoretical density	14.0	Mg/m³
V	14.6	Å³/atom

a = 4.816 Å, b = 4.816 Å, c = 4.710 Å
α = 100.07°, β = 100.07°, γ = 32.98°
Atoms (fractional coordinates):
1 Ag 0.000 0.000 0.000
2 Ru 0.490 0.490 0.494
3 Ru 0.758 0.758 0.258
4 W 0.241 0.241 0.727

=====

The following is a meta-GGA SCAN calculation of AgRuW2 at its PBEsol-relaxed geometry, from the Alexandria database.

Output
magnetic moment	0.00	μB/f.u.
formation enthalpy at 0 K	0.423	eV/atom
theoretical density	15.6	Mg/m³
V	15.4	Å³/atom

a = 2.728 Å, b = 2.728 Å, c = 8.258 Å
α = 90.00°, β = 90.00°, γ = 90.00°
Atoms (fractional coordinates):
1 Ag 0.000 0.000 0.000
2 Ru 0.500 0.500 0.259
3 W 0.000 0.000 0.476
4 W 0.500 0.500 0.738

=====

The following is a meta-GGA SCAN calculation of AgRu2W at its PBEsol-relaxed geometry, from the Alexandria database.

Output
magnetic moment	0.01	μB/f.u.
formation enthalpy at 0 K	0.608	eV/atom
theoretical density	13.9	Mg/m³
V	14.7	Å³/atom

a = 5.242 Å, b = 5.242 Å, c = 2.675 Å
α = 103.61°, β = 103.61°, γ = 116.49°
Atoms (fractional coordinates):
1 Ag 0.000 0.000 0.000
2 Ru 0.000 0.500 0.500
3 Ru 0.500 0.000 0.500
4 W 0.500 0.500 0.000

=====

The following is a meta-GGA SCAN calculation of AgRuW2 at its PBEsol-relaxed geometry, from the Alexandria database.

Output
magnetic moment	0.00	μB/f.u.
formation enthalpy at 0 K	0.487	eV/atom
theoretical density	15.8	Mg/m³
V	15.2	Å³/atom

a = 4.783 Å, b = 4.783 Å, c = 4.857 Å
α = 99.88°, β = 99.88°, γ = 33.79°
Atoms (fractional coordinates):
1 Ag 0.000 0.000 0.000
2 Ru 0.245 0.245 0.731
3 W 0.507 0.507 0.513
4 W 0.755 0.755 0.246

=====

The following is a meta-GGA SCAN calculation of AgRuW2 at its PBEsol-relaxed geometry, from the Alexandria database.

Output
magnetic moment	0.00	μB/f.u.
formation enthalpy at 0 K	0.599	eV/atom
theoretical density	15.4	Mg/m³
V	15.5	Å³/atom

a = 5.312 Å, b = 5.312 Å, c = 5.312 Å
α = 147.44°, β = 128.85°, γ = 61.96°
Atoms (fractional coordinates):
1 Ag 0.000 0.000 0.000
2 Ru 0.263 0.763 0.500
3 W 0.490 0.490 0.000
4 W 0.727 0.227 0.500

=====

The following is a meta-GGA SCAN calculation of Ag3RuW at its PBEsol-relaxed geometry, from the Alexandria database.

Output
magnetic moment	6.59	μB/f.u.
formation enthalpy at 0 K	2.324	eV/atom
theoretical density	9.0	Mg/m³
V	22.4	Å³/atom

a = 4.820 Å, b = 4.820 Å, c = 4.820 Å
α = 90.00°, β = 90.00°, γ = 90.00°
Atoms (fractional coordinates):
1 Ag 0.000 0.000 0.500
2 Ag 0.000 0.500 0.000
3 Ag 0.500 0.000 0.000
4 Ru 0.000 0.000 0.000
5 W 0.500 0.500 0.500

=====

The following is a meta-GGA SCAN calculation of YAgRu2 at its PBEsol-relaxed geometry, from the Alexandria database.

Output
magnetic moment	0.00	μB/f.u.
formation enthalpy at 0 K	0.098	eV/atom
theoretical density	9.7	Mg/m³
V	17.0	Å³/atom

a = 2.937 Å, b = 3.826 Å, c = 6.047 Å
α = 90.00°, β = 90.00°, γ = 90.00°
Atoms (fractional coordinates):
1 Y 0.000 0.000 0.000
2 Ag 0.500 0.500 0.285
3 Ru 0.000 0.000 0.549
4 Ru 0.500 0.500 0.722

=====

The following is a meta-GGA SCAN calculation of YAgRu at its PBEsol-relaxed geometry, from the Alexandria database.

Output
magnetic moment	0.53	μB/f.u.
formation enthalpy at 0 K	0.429	eV/atom
theoretical density	7.7	Mg/m³
V	21.4	Å³/atom

a = 4.497 Å, b = 4.497 Å, c = 4.497 Å
α = 60.00°, β = 60.00°, γ = 60.00°
Atoms (fractional coordinates):
1 Y 0.000 0.000 0.000
2 Ag 0.750 0.750 0.750
3 Ru 0.500 0.500 0.500